No. 1
A plane-wave DFT calculation with PBE-GGA was carried out for a relaxed Ti3CrSn crystal.

POSCAR file:
```
Ti3CrSn
1.0
4.548 0.000 0.000
0.000 4.548 0.000
0.000 0.000 4.548
Ti Cr Sn
3 1 1
Cartesian
0.000 0.000 2.274
0.000 2.274 0.000
2.274 0.000 0.000
0.000 0.000 0.000
2.274 2.274 2.274
```

Calculated values
- Crystal system: cubic
- Mass density: 5.55 g cm⁻³

---

No. 2
A plane-wave DFT calculation with PBE-GGA was carried out for a relaxed TiCrSn crystal.

POSCAR file:
```
TiCrSn
1.0
3.330 0.000 0.000
0.000 3.330 0.000
0.000 0.000 8.881
Ti Cr Sn
2 2 2
Cartesian
0.833 0.833 0.683
2.498 2.498 8.197
0.833 0.833 3.856
2.498 2.498 5.025
0.833 0.833 6.564
2.498 2.498 2.317
```

Calculated values
- Crystal system: tetragonal
- Mass density: 7.37 g cm⁻³

---

Formation energy from the elements for the records above, in order: 0.328; 0.065 eV per atom
E_tot for the records above, in order: -35.7; -42.7 eV for the cell shown
DOS at the Fermi energy for the records above, in order: 4.87; 6.09 states/eV/cell